The following is a DFT calculation (PBE+U) of CrO after structural relaxation.

Calculated values
**Total energy**: -7.37 eV/atom

a = 3.379 Å, b = 3.379 Å, c = 3.379 Å
α = 60.00°, β = 60.00°, γ = 60.00°
Positions (direct):
Cr: 0.000 0.000 0.000
O: 0.250 0.250 0.250